# 1
# ScBIr3 | Alexandria | PBE | optimized geometry
data_ScBIr3
_chemical_formula_sum 'Sc1 B1 Ir3'
_symmetry_space_group_name_H-M 'P 1'
_symmetry_Int_Tables_number 1
_cell_length_a 4.1509
_cell_length_b 4.1509
_cell_length_c 4.1509
_cell_angle_alpha 90.00
_cell_angle_beta 90.00
_cell_angle_gamma 90.00
loop_
_symmetry_equiv_pos_as_xyz
'x,y,z'
loop_
_atom_site_label
_atom_site_type_symbol
_atom_site_fract_x
_atom_site_fract_y
_atom_site_fract_z
Sc1 Sc 0.5000 0.5000 0.5000
B1 B 0.0000 0.0000 0.0000
Ir1 Ir 0.0000 0.5000 0.0000
Ir2 Ir 0.0000 0.0000 0.5000
Ir3 Ir 0.5000 0.0000 0.0000
# Calculated formation energy (eV/f.u.): -3.22
# DOS at the Fermi energy (states/eV per cell): 2.93
# Offset from the most stable computed form (meV/atom): 0
# Magnetic moment (μB per formula unit): 0.0
# E_tot (eV per atom): -8.56


# 2
# Sc2BIr | Alexandria | PBE | optimized geometry
data_Sc2BIr
_chemical_formula_sum 'Sc2 B1 Ir1'
_symmetry_space_group_name_H-M 'P 1'
_symmetry_Int_Tables_number 1
_cell_length_a 8.3748
_cell_length_b 8.3748
_cell_length_c 8.3748
_cell_angle_alpha 21.00
_cell_angle_beta 21.00
_cell_angle_gamma 21.00
loop_
_symmetry_equiv_pos_as_xyz
'x,y,z'
loop_
_atom_site_label
_atom_site_type_symbol
_atom_site_fract_x
_atom_site_fract_y
_atom_site_fract_z
Sc1 Sc 0.8980 0.8980 0.8980
Sc2 Sc 0.1020 0.1020 0.1020
B1 B 0.5000 0.5000 0.5000
Ir1 Ir 0.0000 0.0000 0.0000
# Calculated formation energy (eV/f.u.): 0.52
# DOS at the Fermi energy (states/eV per cell): 0.18
# Magnetic moment (μB per formula unit): 0.0
# E_tot (eV per atom): -6.92


# 3
# ScB2Ir2 | Alexandria | PBE | optimized geometry
data_ScB2Ir2
_chemical_formula_sum 'Sc2 B4 Ir4'
_symmetry_space_group_name_H-M 'P 1'
_symmetry_Int_Tables_number 1
_cell_length_a 6.5780
_cell_length_b 6.5780
_cell_length_c 2.7504
_cell_angle_alpha 90.00
_cell_angle_beta 90.00
_cell_angle_gamma 90.00
loop_
_symmetry_equiv_pos_as_xyz
'x,y,z'
loop_
_atom_site_label
_atom_site_type_symbol
_atom_site_fract_x
_atom_site_fract_y
_atom_site_fract_z
Sc1 Sc 0.0000 0.0000 0.0000
Sc2 Sc 0.5000 0.5000 0.0000
B1 B 0.3633 0.8633 0.0000
B2 B 0.8633 0.6367 0.0000
B3 B 0.6367 0.1367 0.0000
B4 B 0.1367 0.3633 0.0000
Ir1 Ir 0.1513 0.6513 0.5000
Ir2 Ir 0.6513 0.8487 0.5000
Ir3 Ir 0.8487 0.3487 0.5000
Ir4 Ir 0.3487 0.1513 0.5000
# Calculated formation energy (eV/f.u.): -1.19
# DOS at the Fermi energy (states/eV per cell): 6.55
# Magnetic moment (μB per formula unit): 0.0
# E_tot (eV per atom): -7.72


- Among the records above, which one has the highest E_tot?
  Sc2BIr